5
Lattice="4.803 0.000 0.000 0.000 4.803 0.000 0.000 0.000 4.317" Properties=species:S:1:pos:R:3 comment="Zr2TiReP, PBEsol geometry, DFT SCAN" energy_ev_per_atom=-31.79 n_ef_per_ev_fu=3.6 delta_e_f_mev_per_atom=-3 rho_g_cm3=7.46 space_group="No. 123" pbc="T T T"
Zr 0.000 2.401 0.000
Zr 2.401 0.000 0.000
Ti 0.000 0.000 2.158
Re 2.401 2.401 2.158
P 2.401 2.401 0.000



5
Lattice="5.172 0.000 0.000 0.000 5.172 0.000 0.000 0.000 5.172" Properties=species:S:1:pos:R:3 comment="Tl3ReP, PBEsol geometry, DFT SCAN" energy_ev_per_atom=-58.11 n_ef_per_ev_fu=3.5 delta_e_f_mev_per_atom=1600 rho_g_cm3=9.96 space_group="No. 221" pbc="T T T"
Tl 0.000 0.000 2.586
Tl 0.000 2.586 0.000
Tl 2.586 0.000 0.000
Re 2.586 2.586 2.586
P 0.000 0.000 0.000



4
Lattice="3.126 -4.183 0.000 3.126 4.183 0.000 0.000 0.000 2.885" Properties=species:S:1:pos:R:3 comment="Tl2ReP, PBEsol geometry, DFT SCAN" energy_ev_per_atom=-55.40 n_ef_per_ev_fu=2.3 delta_e_f_mev_per_atom=1158 rho_g_cm3=13.78 space_group="No. 65" pbc="T T T"
Tl 1.563 2.092 0.000
Tl 1.563 -2.092 0.000
Re 0.000 0.000 1.443
P 3.126 0.000 1.443



4
Lattice="-1.519 2.321 6.154 1.519 -2.321 6.154 1.519 2.321 -6.154" Properties=species:S:1:pos:R:3 comment="Tl2ReP, PBEsol geometry, DFT SCAN" energy_ev_per_atom=-56.05 n_ef_per_ev_fu=1.9 delta_e_f_mev_per_atom=506 rho_g_cm3=11.97 space_group="No. 44" pbc="T T T"
Tl 0.000 0.000 0.000
Tl 0.000 2.321 2.401
Re 0.000 0.000 5.653
P 1.519 0.000 3.917



6
Lattice="0.000 3.615 3.615 3.615 0.000 3.615 3.615 3.615 0.000" Properties=species:S:1:pos:R:3 comment="TlReP4, PBEsol geometry, DFT SCAN" energy_ev_per_atom=-29.52 n_ef_per_ev_fu=3.1 delta_e_f_mev_per_atom=1324 rho_g_cm3=9.04 space_group="No. 216" pbc="T T T"
Tl 0.000 0.000 0.000
Re 5.423 5.423 5.423
P 2.741 2.741 2.741
P 4.489 4.489 2.741
P 4.489 2.741 4.489
P 2.741 4.489 4.489



4
Lattice="1.563 0.902 9.742 -1.563 0.902 9.742 0.000 -1.805 9.742" Properties=species:S:1:pos:R:3 comment="Tl2ReP, PBEsol geometry, DFT SCAN" energy_ev_per_atom=-56.27 n_ef_per_ev_fu=2.6 delta_e_f_mev_per_atom=280 rho_g_cm3=12.61 space_group="No. 160" pbc="T T T"
Tl 0.000 0.000 0.000
Tl 0.000 0.000 6.677
Re 0.000 0.000 21.895
P 0.000 0.000 13.641



4
Lattice="2.977 0.000 0.000 0.000 2.977 0.000 0.000 0.000 8.715" Properties=species:S:1:pos:R:3 comment="Tl2ReP, PBEsol geometry, DFT SCAN" energy_ev_per_atom=-55.28 n_ef_per_ev_fu=2.8 delta_e_f_mev_per_atom=1276 rho_g_cm3=13.46 space_group="No. 123" pbc="T T T"
Tl 0.000 0.000 2.101
Tl 0.000 0.000 6.614
Re 1.488 1.488 0.000
P 1.488 1.488 4.358



6
Lattice="0.000 3.692 3.692 3.692 0.000 3.692 3.692 3.692 0.000" Properties=species:S:1:pos:R:3 comment="TlRe4P, PBEsol geometry, DFT SCAN" energy_ev_per_atom=-60.15 n_ef_per_ev_fu=3.8 delta_e_f_mev_per_atom=1044 rho_g_cm3=16.17 space_group="No. 216" pbc="T T T"
Tl 0.000 0.000 0.000
Re 4.609 2.775 2.775
Re 2.775 4.609 2.775
Re 2.775 2.775 4.609
Re 4.609 4.609 4.609
P 1.846 1.846 1.846



4
Lattice="4.472 0.000 0.000 0.000 1.485 7.142 0.000 -1.485 7.142" Properties=species:S:1:pos:R:3 comment="Tl2ReP, PBEsol geometry, DFT SCAN" energy_ev_per_atom=-55.89 n_ef_per_ev_fu=2.2 delta_e_f_mev_per_atom=665 rho_g_cm3=10.96 space_group="No. 38" pbc="T T T"
Tl 0.000 0.000 0.000
Tl 2.236 0.000 5.007
Re 2.236 0.000 9.635
P 0.000 0.000 9.717



5
Lattice="4.868 0.000 0.000 0.000 4.868 0.000 0.000 0.000 4.868" Properties=species:S:1:pos:R:3 comment="TlRe3P, PBEsol geometry, DFT SCAN" energy_ev_per_atom=-55.41 n_ef_per_ev_fu=5.1 delta_e_f_mev_per_atom=3805 rho_g_cm3=11.43 space_group="No. 221" pbc="T T T"
Tl 0.000 0.000 0.000
Re 0.000 0.000 2.434
Re 0.000 2.434 0.000
Re 2.434 0.000 0.000
P 2.434 2.434 2.434



4
Lattice="2.888 0.000 0.000 0.000 2.888 0.000 0.000 0.000 6.679" Properties=species:S:1:pos:R:3 comment="Re2PW, PBEsol geometry, DFT SCAN" energy_ev_per_atom=-55.55 n_ef_per_ev_fu=2.7 delta_e_f_mev_per_atom=23 rho_g_cm3=17.51 space_group="No. 123" pbc="T T T"
Re 0.000 0.000 1.453
Re 0.000 0.000 5.226
P 1.444 1.444 0.000
W 1.444 1.444 3.340



4
Lattice="3.832 -1.446 0.000 3.832 1.446 0.000 -1.107 0.000 4.920" Properties=species:S:1:pos:R:3 comment="ReP2W, PBEsol geometry, DFT SCAN" energy_ev_per_atom=-40.23 n_ef_per_ev_fu=2.6 delta_e_f_mev_per_atom=162 rho_g_cm3=13.16 space_group="No. 12" pbc="T T T"
Re 0.000 0.000 0.000
P 1.089 0.000 3.725
P 5.467 0.000 1.195
W 3.278 0.000 2.460



- Number 5 is which compound?
  TlReP4